# 1
VASP calculation (PBE) on a relaxed structure of CsNa3CdHg.

* symmetry: No. 63

a = 9.2309 Å, b = 9.2309 Å, c = 6.9448 Å
α = 90.00°, β = 90.00°, γ = 124.48°
Last column: nearest neighbours and their distance in Å.
Sites, in units of the cell vectors:
Cs1 0.2253 0.7747 0.7500  2 Hg 3.74, 1 Cd 3.76, 2 Na 4.05
Cs2 0.7747 0.2253 0.2500  2 Hg 3.74, 1 Cd 3.76, 2 Na 4.05
Na1 0.1983 0.1983 0.0000  2 Cd 3.21, 2 Hg 3.35, 3 Na 3.41-3.47
Na2 0.1983 0.1983 0.5000  2 Cd 3.21, 2 Hg 3.35, 3 Na 3.41-3.47
Na3 0.3535 0.6465 0.2500  1 Cd 3.13, 1 Hg 3.47
Na4 0.6465 0.3535 0.7500  1 Cd 3.13, 1 Hg 3.47
Na5 0.8017 0.8017 0.0000  2 Cd 3.21, 2 Hg 3.35, 3 Na 3.41-3.47
Na6 0.8017 0.8017 0.5000  2 Cd 3.21, 2 Hg 3.35, 3 Na 3.41-3.47
Cd1 0.4552 0.5448 0.7500  5 Na 3.13-3.21
Cd2 0.5448 0.4552 0.2500  5 Na 3.13-3.21
Hg1 0.1410 0.8590 0.2500  5 Na 3.35-3.47, 2 Cs 3.74
Hg2 0.8590 0.1410 0.7500  5 Na 3.35-3.47, 2 Cs 3.74


# 2
VASP calculation (PBE) on a relaxed structure of Hf3Al5.

* symmetry: No. 63

a = 5.6602 Å, b = 5.6602 Å, c = 9.2020 Å
α = 90.00°, β = 90.00°, γ = 77.40°
Last column: nearest neighbours and their distance in Å.
Sites, in units of the cell vectors:
Hf1 0.1252 0.8748 0.7500  9 Al 2.73-3.02
Hf2 0.2922 0.2922 0.0000  10 Al 2.83-3.08
Hf3 0.2922 0.2922 0.5000  10 Al 2.83-3.08
Hf4 0.7078 0.7078 0.0000  10 Al 2.83-3.08
Hf5 0.7078 0.7078 0.5000  10 Al 2.83-3.08
Hf6 0.8748 0.1252 0.2500  9 Al 2.73-3.02
Al1 0.0004 0.4221 0.7500  3 Al 2.63-2.71, 3 Hf 2.80-2.83
Al2 0.9996 0.5779 0.2500  3 Al 2.63-2.71, 3 Hf 2.80-2.83
Al3 0.1860 0.8140 0.0489  4 Al 2.63-2.83, 6 Hf 2.78-2.93
Al4 0.1860 0.8140 0.4511  4 Al 2.63-2.83, 6 Hf 2.78-2.93
Al5 0.4221 0.0004 0.2500  3 Al 2.63-2.71, 3 Hf 2.80-2.83
Al6 0.4884 0.5116 0.2500  6 Al 2.71-3.00, 5 Hf 2.73-2.94
Al7 0.5116 0.4884 0.7500  6 Al 2.71-3.00, 5 Hf 2.73-2.94
Al8 0.5779 0.9996 0.7500  3 Al 2.63-2.71, 3 Hf 2.80-2.83
Al9 0.8140 0.1860 0.5489  4 Al 2.63-2.83, 6 Hf 2.78-2.93
Al10 0.8140 0.1860 0.9511  4 Al 2.63-2.83, 6 Hf 2.78-2.93


# 3
VASP calculation (PBE) on a relaxed structure of Sm2GdZr.

* symmetry: No. 123

a = 4.0447 Å, b = 4.0447 Å, c = 7.4067 Å
α = 90.00°, β = 90.00°, γ = 90.00°
Last column: nearest neighbours and their distance in Å.
Sites, in units of the cell vectors:
Sm1 0.0000 0.0000 0.2216  1 Sm 3.28, 4 Zr 3.30, 4 Gd 3.53
Sm2 0.0000 0.0000 0.7784  1 Sm 3.28, 4 Zr 3.30, 4 Gd 3.53
Gd1 0.5000 0.5000 0.5000  8 Sm 3.53, 2 Zr 3.70
Zr1 0.5000 0.5000 0.0000  8 Sm 3.30


Number 1: spin magnetization 0.000 μB per cell, electronic total energy -12.65 eV for the cell shown, theoretical density 3.51 Mg/m³. Number 2: spin magnetization 0.000 μB per cell, electronic total energy -103.42 eV for the cell shown, theoretical density 7.74 Mg/m³. Number 3: spin magnetization 7.183 μB per cell, electronic total energy -31.39 eV for the cell shown, theoretical density 7.53 Mg/m³.